Compound: AcCeGe2Os
Source: the Alexandria database
Functional: PBE
Structure: optimized geometry

Unit cell a=6.2423 b=5.7575 c=6.4848 alpha=90.00 beta=90.00 gamma=90.00
With the nearest neighbours (Å) after each atom.
Element x y z (fractional)
Os1 0.0000 0.0000 0.0000  4 Ge 2.61, 2 Ce 2.75, 2 Os 2.88
Os2 0.0000 0.5000 0.0000  4 Ge 2.61, 2 Ce 2.75, 2 Os 2.88
Ce1 0.3756 0.2500 0.0000  2 Os 2.75, 2 Ge 2.99
Ce2 0.6244 0.7500 0.0000  2 Os 2.75, 2 Ge 2.99
Ac1 0.7622 0.7500 0.5000  6 Ge 3.29-3.30, 2 Ce 3.35
Ac2 0.2378 0.2500 0.5000  6 Ge 3.29-3.30, 2 Ce 3.35
Ge1 0.7742 0.2500 0.7443  2 Os 2.61
Ge2 0.7742 0.2500 0.2557  2 Os 2.61
Ge3 0.2258 0.7500 0.7443  2 Os 2.61
Ge4 0.2258 0.7500 0.2557  2 Os 2.61

Computed properties:
Formation enthalpy at 0 K ... -369 meV/atom
Crystal system ... orthorhombic



Compound: AcCeGePb
Source: the Alexandria database
Functional: PBE
Structure: optimized geometry

Unit cell a=5.5613 b=5.5613 c=5.5613 alpha=60.00 beta=60.00 gamma=60.00
With the nearest neighbours (Å) after each atom.
Element x y z (fractional)
Pb1 0.7500 0.7500 0.7500  4 Ac 3.41, 4 Ce 3.41
Ge1 0.2500 0.2500 0.2500  4 Ac 3.41, 4 Ce 3.41
Ce1 0.0000 0.0000 0.0000  4 Pb 3.41, 4 Ge 3.41
Ac1 0.5000 0.5000 0.5000  4 Pb 3.41, 4 Ge 3.41

Computed properties:
Formation enthalpy at 0 K ... -378 meV/atom
Crystal system ... cubic



Compound: Ac2CeGe2Pd7
Source: the Alexandria database
Functional: PBE
Structure: optimized geometry

Unit cell a=4.2673 b=4.2673 c=14.0362 alpha=84.62 beta=84.62 gamma=89.24
With the nearest neighbours (Å) after each atom.
Element x y z (fractional)
Pd1 0.5000 0.5000 0.0000  8 Pd 2.95-2.96, 4 Ce 3.00-3.04
Pd2 0.9539 0.4557 0.1465  2 Ge 2.52
Pd3 0.3837 0.3837 0.4247  1 Ge 2.54, 1 Pd 2.69
Pd4 0.6163 0.6163 0.5753  1 Ge 2.54, 1 Pd 2.69
Pd5 0.0461 0.5443 0.8535  2 Ge 2.52
Pd6 0.5443 0.0461 0.8535  2 Ge 2.52
Pd7 0.4557 0.9539 0.1465  2 Ge 2.52
Ge1 0.5754 0.5754 0.7577  5 Pd 2.52-2.54
Ge2 0.4246 0.4246 0.2423  5 Pd 2.52-2.54
Ac1 0.8982 0.8982 0.3516  5 Pd 3.16-3.37, 4 Ge 3.36-3.43
Ac2 0.1018 0.1018 0.6484  5 Pd 3.16-3.37, 4 Ge 3.36-3.43
Ce1 0.0000 0.0000 0.0000  12 Pd 2.95-3.04

Computed properties:
Formation enthalpy at 0 K ... -792 meV/atom
Crystal system ... monoclinic



Calculated DFT total energy (eV/atom), listed in the same order as above: -6.470 -4.970 -5.770
Calculated calculated volume (Å³/f.u.), listed in the same order as above: 116.53 121.62 253.35